# Li2IrPd PBE-GGA optimized geometry
# energy relative to the elements = -0.022 eV per atom
# DOS(E_F) = 2.65 states/eV/f.u.
# total DFT energy (no corrections) = -71.9 eV/cell
# total magnetization = 0.00 μB/f.u.
data_Li2IrPd
_chemical_formula_sum 'Li8 Ir4 Pd4'
_symmetry_space_group_name_H-M 'F m -3 m'
_symmetry_Int_Tables_number 225
_symmetry_space_group_name_Hall '-F 4 2 3'
_cell_length_a 5.8911
_cell_length_b 5.8911
_cell_length_c 5.8911
_cell_angle_alpha 90.00
_cell_angle_beta 90.00
_cell_angle_gamma 90.00
loop_
_atom_site_label
_atom_site_type_symbol
_atom_site_fract_x
_atom_site_fract_y
_atom_site_fract_z
_atom_site_occupancy
Li1 Li 0.2500 0.2500 0.2500 1
Ir1 Ir 0.0000 0.0000 0.0000 1
Pd1 Pd 0.0000 0.0000 0.5000 1